{
  "formula": "GaHgPd4",
  "functional": "PBE-GGA",
  "state": "relaxed",
  "ef_ev_per_atom": -0.346,
  "n_ef_per_ev_fu": 3.0,
  "magmom_total_mub_per_fu": 0.0,
  "de_polymorph_kcal_per_mol_atoms": 0.00,
  "e_tot_ev_per_atom": -4.36,
  "lattice_angstrom": [[2.999, 0.000, 0.000], [0.000, 7.371, 0.000], [0.000, 0.000, 17.712]],
  "species": ["Pd", "Pd", "Pd", "Pd", "Pd", "Pd", "Pd", "Pd", "Pd", "Pd", "Pd", "Pd", "Pd", "Pd", "Pd", "Pd", "Ga", "Ga", "Ga", "Ga", "Hg", "Hg", "Hg", "Hg"],
  "frac_coords": [[0.250, 0.530, 0.432], [0.750, 0.847, 0.658], [0.250, 0.037, 0.799], [0.250, 0.653, 0.158], [0.750, 0.470, 0.568], [0.750, 0.392, 0.056], [0.750, 0.963, 0.201], [0.250, 0.108, 0.556], [0.250, 0.030, 0.068], [0.750, 0.347, 0.842], [0.750, 0.892, 0.444], [0.250, 0.537, 0.701], [0.750, 0.970, 0.932], [0.250, 0.608, 0.944], [0.250, 0.153, 0.342], [0.750, 0.463, 0.299], [0.250, 0.751, 0.549], [0.250, 0.251, 0.951], [0.750, 0.249, 0.451], [0.750, 0.749, 0.049], [0.250, 0.784, 0.313], [0.750, 0.216, 0.687], [0.750, 0.716, 0.813], [0.250, 0.284, 0.187]]
}